Arrangement A

# BeIrI2O

A relaxed BeIrI2O crystal (PBE, Alexandria via LeMat-Bulk).

```
data_BeIrI2O
_symmetry_space_group_name_H-M 'P 4/m m m'
_symmetry_Int_Tables_number 123
_symmetry_space_group_name_Hall '-P 4 2'
_cell_length_a 5.586
_cell_length_b 5.586
_cell_length_c 3.740
_cell_angle_alpha 90.00
_cell_angle_beta 90.00
_cell_angle_gamma 90.00
loop_
_atom_site_label
_atom_site_type_symbol
_atom_site_fract_x
_atom_site_fract_y
_atom_site_fract_z
Be1 Be 0.000 0.000 0.000
Ir1 Ir 0.500 0.500 0.500
I1 I 0.000 0.500 0.500
O1 O 0.500 0.500 0.000
```

Computed properties:
The density is 6.7 Mg/m³. Its spin magnetization is 0.0 μB/cell.

***

Arrangement B

# BeIrI2O

A relaxed BeIrI2O crystal (PBE, Alexandria via LeMat-Bulk).

```
data_BeIrI2O
_symmetry_space_group_name_H-M 'P 4/m m m'
_symmetry_Int_Tables_number 123
_symmetry_space_group_name_Hall '-P 4 2'
_cell_length_a 5.467
_cell_length_b 5.467
_cell_length_c 3.016
_cell_angle_alpha 90.00
_cell_angle_beta 90.00
_cell_angle_gamma 90.00
loop_
_atom_site_label
_atom_site_type_symbol
_atom_site_fract_x
_atom_site_fract_y
_atom_site_fract_z
Be1 Be 0.000 0.000 0.000
Ir1 Ir 0.500 0.500 0.500
I1 I 0.000 0.500 0.000
O1 O 0.000 0.000 0.500
```

Computed properties:
The density is 8.7 Mg/m³. Its spin magnetization is 0.0 μB/cell.

***

arrangement B is preferred energetically. Next in line: 39.5 kJ/mol of atoms higher.

***

Arrangement A

# BeSbIrI2

A relaxed BeSbIrI2 crystal (PBE, Alexandria via LeMat-Bulk).

```
data_BeSbIrI2
_symmetry_space_group_name_H-M 'P 4/m m m'
_symmetry_Int_Tables_number 123
_symmetry_space_group_name_Hall '-P 4 2'
_cell_length_a 5.645
_cell_length_b 5.645
_cell_length_c 4.973
_cell_angle_alpha 90.00
_cell_angle_beta 90.00
_cell_angle_gamma 90.00
loop_
_atom_site_label
_atom_site_type_symbol
_atom_site_fract_x
_atom_site_fract_y
_atom_site_fract_z
Be1 Be 0.000 0.000 0.000
Sb1 Sb 0.500 0.500 0.000
Ir1 Ir 0.500 0.500 0.500
I1 I 0.000 0.500 0.500
```

Computed properties:
The density is 6.0 Mg/m³. Its spin magnetization is 0.0 μB/cell.

***

Arrangement B

# BeSbIrI2

A relaxed BeSbIrI2 crystal (PBE, Alexandria via LeMat-Bulk).

```
data_BeSbIrI2
_symmetry_space_group_name_H-M 'P 4/m m m'
_symmetry_Int_Tables_number 123
_symmetry_space_group_name_Hall '-P 4 2'
_cell_length_a 4.973
_cell_length_b 4.973
_cell_length_c 4.875
_cell_angle_alpha 90.00
_cell_angle_beta 90.00
_cell_angle_gamma 90.00
loop_
_atom_site_label
_atom_site_type_symbol
_atom_site_fract_x
_atom_site_fract_y
_atom_site_fract_z
Be1 Be 0.000 0.000 0.000
Sb1 Sb 0.000 0.000 0.500
Ir1 Ir 0.500 0.500 0.500
I1 I 0.000 0.500 0.000
```

Computed properties:
The density is 7.9 Mg/m³. Its spin magnetization is 0.9 μB/cell.

***

arrangement A is preferred energetically. Next in line: 26.5 kJ/mol of atoms higher.

***

Arrangement A

# BeTe2IrI

A relaxed BeTe2IrI crystal (PBE, Alexandria via LeMat-Bulk).

```
data_BeTe2IrI
_symmetry_space_group_name_H-M 'P 4/m m m'
_symmetry_Int_Tables_number 123
_symmetry_space_group_name_Hall '-P 4 2'
_cell_length_a 4.864
_cell_length_b 4.864
_cell_length_c 4.846
_cell_angle_alpha 90.00
_cell_angle_beta 90.00
_cell_angle_gamma 90.00
loop_
_atom_site_label
_atom_site_type_symbol
_atom_site_fract_x
_atom_site_fract_y
_atom_site_fract_z
Be1 Be 0.000 0.000 0.000
Te1 Te 0.000 0.500 0.000
Ir1 Ir 0.500 0.500 0.500
I1 I 0.000 0.000 0.500
```

Computed properties:
The density is 8.4 Mg/m³. Its spin magnetization is 0.0 μB/cell.

***

Arrangement B

# BeTe2IrI

A relaxed BeTe2IrI crystal (PBE, Alexandria via LeMat-Bulk).

```
data_BeTe2IrI
_symmetry_space_group_name_H-M 'P 4/m m m'
_symmetry_Int_Tables_number 123
_symmetry_space_group_name_Hall '-P 4 2'
_cell_length_a 5.221
_cell_length_b 5.221
_cell_length_c 5.582
_cell_angle_alpha 90.00
_cell_angle_beta 90.00
_cell_angle_gamma 90.00
loop_
_atom_site_label
_atom_site_type_symbol
_atom_site_fract_x
_atom_site_fract_y
_atom_site_fract_z
Be1 Be 0.000 0.000 0.000
Te1 Te 0.000 0.500 0.500
Ir1 Ir 0.500 0.500 0.500
I1 I 0.500 0.500 0.000
```

Computed properties:
The density is 6.4 Mg/m³. Its spin magnetization is 0.0 μB/cell.

***

arrangement B is preferred energetically. Next in line: 11.0 kJ/mol of atoms higher.

***

Arrangement A

# BeTeIrI2

A relaxed BeTeIrI2 crystal (PBE, Alexandria via LeMat-Bulk).

```
data_BeTeIrI2
_symmetry_space_group_name_H-M 'P 4/m m m'
_symmetry_Int_Tables_number 123
_symmetry_space_group_name_Hall '-P 4 2'
_cell_length_a 4.958
_cell_length_b 4.958
_cell_length_c 5.043
_cell_angle_alpha 90.00
_cell_angle_beta 90.00
_cell_angle_gamma 90.00
loop_
_atom_site_label
_atom_site_type_symbol
_atom_site_fract_x
_atom_site_fract_y
_atom_site_fract_z
Be1 Be 0.000 0.000 0.000
Te1 Te 0.000 0.000 0.500
Ir1 Ir 0.500 0.500 0.500
I1 I 0.000 0.500 0.000
```

Computed properties:
The density is 7.8 Mg/m³. Its spin magnetization is 1.5 μB/cell.

***

Arrangement B

# BeTeIrI2

A relaxed BeTeIrI2 crystal (PBE, Alexandria via LeMat-Bulk).

```
data_BeTeIrI2
_symmetry_space_group_name_H-M 'P 4/m m m'
_symmetry_Int_Tables_number 123
_symmetry_space_group_name_Hall '-P 4 2'
_cell_length_a 5.602
_cell_length_b 5.602
_cell_length_c 5.062
_cell_angle_alpha 90.00
_cell_angle_beta 90.00
_cell_angle_gamma 90.00
loop_
_atom_site_label
_atom_site_type_symbol
_atom_site_fract_x
_atom_site_fract_y
_atom_site_fract_z
Be1 Be 0.000 0.000 0.000
Te1 Te 0.500 0.500 0.000
Ir1 Ir 0.500 0.500 0.500
I1 I 0.000 0.500 0.500
```

Computed properties:
The density is 6.1 Mg/m³. Its spin magnetization is 0.0 μB/cell.

***

arrangement B is preferred energetically. Next in line: 23.9 kJ/mol of atoms higher.

***

Arrangement A

# KBeI2

A relaxed KBeI2 crystal (PBE, Alexandria via LeMat-Bulk).

```
data_KBeI2
_symmetry_space_group_name_H-M 'F m -3 m'
_symmetry_Int_Tables_number 225
_symmetry_space_group_name_Hall '-F 4 2 3'
_cell_length_a 8.122
_cell_length_b 8.122
_cell_length_c 8.122
_cell_angle_alpha 90.00
_cell_angle_beta 90.00
_cell_angle_gamma 90.00
loop_
_atom_site_label
_atom_site_type_symbol
_atom_site_fract_x
_atom_site_fract_y
_atom_site_fract_z
K1 K 0.000 0.000 0.000
Be1 Be 0.000 0.000 0.500
I1 I 0.250 0.250 0.250
```

Computed properties:
The density is 3.7 Mg/m³. Its spin magnetization is 3.8 μB/cell.

***

Arrangement B

# KBeI2

A relaxed KBeI2 crystal (PBE, Alexandria via LeMat-Bulk).

```
data_KBeI2
_symmetry_space_group_name_H-M 'I -4 2 d'
_symmetry_Int_Tables_number 122
_symmetry_space_group_name_Hall 'I -4 2bw'
_cell_length_a 7.030
_cell_length_b 7.030
_cell_length_c 14.391
_cell_angle_alpha 90.00
_cell_angle_beta 90.00
_cell_angle_gamma 90.00
loop_
_atom_site_label
_atom_site_type_symbol
_atom_site_fract_x
_atom_site_fract_y
_atom_site_fract_z
K1 K 0.000 0.000 0.000
Be1 Be 0.000 0.000 0.500
I1 I 0.141 0.250 0.625
```

Computed properties:
The density is 2.8 Mg/m³. Its spin magnetization is 0.0 μB/cell.

***

arrangement B is preferred energetically. Next in line: 30.0 kJ/mol of atoms higher.

***

Arrangement A

# KBeI2O

A relaxed KBeI2O crystal (PBE, Alexandria via LeMat-Bulk).

```
data_KBeI2O
_symmetry_space_group_name_H-M 'P 4/m m m'
_symmetry_Int_Tables_number 123
_symmetry_space_group_name_Hall '-P 4 2'
_cell_length_a 6.638
_cell_length_b 6.638
_cell_length_c 3.067
_cell_angle_alpha 90.00
_cell_angle_beta 90.00
_cell_angle_gamma 90.00
loop_
_atom_site_label
_atom_site_type_symbol
_atom_site_fract_x
_atom_site_fract_y
_atom_site_fract_z
K1 K 0.000 0.000 0.000
Be1 Be 0.500 0.500 0.500
I1 I 0.000 0.500 0.500
O1 O 0.500 0.500 0.000
```

Computed properties:
The density is 3.9 Mg/m³. Its spin magnetization is 0.0 μB/cell.

***

Arrangement B

# KBeI2O

A relaxed KBeI2O crystal (PBE, Alexandria via LeMat-Bulk).

```
data_KBeI2O
_symmetry_space_group_name_H-M 'P 4/m m m'
_symmetry_Int_Tables_number 123
_symmetry_space_group_name_Hall '-P 4 2'
_cell_length_a 6.439
_cell_length_b 6.439
_cell_length_c 4.774
_cell_angle_alpha 90.00
_cell_angle_beta 90.00
_cell_angle_gamma 90.00
loop_
_atom_site_label
_atom_site_type_symbol
_atom_site_fract_x
_atom_site_fract_y
_atom_site_fract_z
K1 K 0.000 0.000 0.000
Be1 Be 0.500 0.500 0.500
I1 I 0.000 0.500 0.000
O1 O 0.000 0.000 0.500
```

Computed properties:
The density is 2.7 Mg/m³. Its spin magnetization is 1.2 μB/cell.

***

arrangement A is preferred energetically. Next in line: 180.9 kJ/mol of atoms higher.